This record from OQMD describes crystalline K2ThTe3 at its relaxed geometry. The functional is PBE.

```
K2ThTe3
1.0
8.026 -3.266 0.000
8.026 3.266 0.000
-2.695 0.000 8.904
K Te Th
4 6 2
direct
0.324 0.324 0.412 K
0.676 0.676 0.088 K
0.676 0.676 0.588 K
0.324 0.324 0.912 K
0.138 0.138 0.069 Te
0.138 0.138 0.569 Te
0.862 0.862 0.431 Te
0.862 0.862 0.931 Te
0.500 0.500 0.750 Te
0.500 0.500 0.250 Te
0.998 0.002 0.250 Th
0.002 0.998 0.750 Th
```

Calculated values
As for the theoretical density: 4930 kg/m³. The symmetry is C2/c, No. 15. The offset from the most stable computed form comes out at 0 meV per atom.